Sr3MgBr8 | PBE | optimized geometry

Structure (POSCAR):
```
Sr3MgBr8
1.0
4.3177 -6.5010 0.0000
4.3177 6.5010 0.0000
0.0000 0.0000 8.5635
Sr Mg Br
3 1 8
direct
0.0000 0.0000 0.0000
0.0000 0.5000 0.7425
0.5000 0.0000 0.2575
0.0000 0.0000 0.5000
0.2095 0.7905 0.5000
0.2129 0.2396 0.7251
0.2365 0.7635 0.0000
0.2396 0.2129 0.2749
0.7604 0.7871 0.2749
0.7635 0.2365 0.0000
0.7871 0.7604 0.7251
0.7905 0.2095 0.5000
```

Energy   -43.2 eV/cell



SrMg3Br8 | PBE | optimized geometry

Structure (POSCAR):
```
SrMg3Br8
1.0
7.0548 -4.0711 0.0000
7.0548 4.0711 0.0000
-4.8536 0.0000 6.9878
Sr Mg Br
1 3 8
direct
0.0000 0.0000 0.0000
0.0000 0.5000 0.0000
0.5000 0.0000 0.0000
0.5000 0.5000 0.0000
0.2574 0.2574 0.2199
0.2576 0.7118 0.2198
0.2599 0.2599 0.7870
0.2882 0.7424 0.7802
0.7118 0.2576 0.2198
0.7401 0.7401 0.2130
0.7424 0.2882 0.7802
0.7426 0.7426 0.7801
```

Energy   -39.1 eV/cell



SrMg2Br | PBE | optimized geometry

Structure (POSCAR):
```
SrMg2Br
1.0
8.2476 0.0000 0.0000
0.0000 8.2476 0.0000
0.0000 0.0000 8.2476
Sr Mg Br
4 8 4
direct
0.0000 0.0000 0.0000
0.0000 0.5000 0.5000
0.5000 0.0000 0.5000
0.5000 0.5000 0.0000
0.2500 0.2500 0.2500
0.2500 0.2500 0.7500
0.2500 0.7500 0.2500
0.2500 0.7500 0.7500
0.7500 0.2500 0.2500
0.7500 0.2500 0.7500
0.7500 0.7500 0.2500
0.7500 0.7500 0.7500
0.0000 0.0000 0.5000
0.0000 0.5000 0.0000
0.5000 0.0000 0.0000
0.5000 0.5000 0.5000
```

Excess energy over the best structure of this formula in the dataset   494 meV per atom



Repeat the third record exactly.
SrMg2Br | PBE | optimized geometry

Structure (POSCAR):
```
SrMg2Br
1.0
8.2476 0.0000 0.0000
0.0000 8.2476 0.0000
0.0000 0.0000 8.2476
Sr Mg Br
4 8 4
direct
0.0000 0.0000 0.0000
0.0000 0.5000 0.5000
0.5000 0.0000 0.5000
0.5000 0.5000 0.0000
0.2500 0.2500 0.2500
0.2500 0.2500 0.7500
0.2500 0.7500 0.2500
0.2500 0.7500 0.7500
0.7500 0.2500 0.2500
0.7500 0.2500 0.7500
0.7500 0.7500 0.2500
0.7500 0.7500 0.7500
0.0000 0.0000 0.5000
0.0000 0.5000 0.0000
0.5000 0.0000 0.0000
0.5000 0.5000 0.5000
```

Excess energy over the best structure of this formula in the dataset   494 meV per atom